Nb2Zn2Ag | GGA-PBE | optimized geometry

Computed properties:
SG = P4/mbm
Total magnetization = 0.000 μB/atom
Volume = 18.00 Å³ per atom
Excess energy over the best structure of this formula in the dataset = 0.154 eV/atom

Lattice parameters (Å, degrees): 8.041 8.041 2.785 90.00 90.00 90.00
Fractional coordinates of all 10 atoms:
Zn1 0.678 0.822 0.500
Nb1 0.618 0.118 0.000
Nb2 0.382 0.882 0.000
Zn2 0.322 0.178 0.500
Ag1 0.500 0.500 0.000
Zn3 0.178 0.678 0.500
Nb3 0.882 0.618 0.000
Nb4 0.118 0.382 0.000
Ag2 0.000 0.000 0.000
Zn4 0.822 0.322 0.500